A relaxed structure of Pu3HfO6, computed with PBE.

Structure (CIF):
```
data_Pu3HfO6
_chemical_formula_sum 'Pu6 Hf2 O12'
_cell_length_a 6.7874
_cell_length_b 6.7874
_cell_length_c 6.7874
_cell_angle_alpha 91.98
_cell_angle_beta 91.98
_cell_angle_gamma 91.98
_symmetry_space_group_name_H-M 'P 1'
_symmetry_Int_Tables_number 1
loop_
_symmetry_equiv_pos_as_xyz
'x,y,z'
loop_
_atom_site_label
_atom_site_fract_x
_atom_site_fract_y
_atom_site_fract_z
_atom_site_occupancy
Pu1 0.4426 0.9374 0.7466 1
Pu2 0.9374 0.7466 0.4426 1
Pu3 0.2534 0.5574 0.0626 1
Pu4 0.7466 0.4426 0.9374 1
Pu5 0.0626 0.2534 0.5574 1
Pu6 0.5574 0.0626 0.2534 1
Hf1 0.0000 0.0000 0.0000 1
Hf2 0.5000 0.5000 0.5000 1
O1 0.2952 0.9252 0.0636 1
O2 0.0748 0.9364 0.7048 1
O3 0.5893 0.7951 0.4593 1
O4 0.9364 0.7048 0.0748 1
O5 0.4593 0.5893 0.7951 1
O6 0.2049 0.5407 0.4107 1
O7 0.7951 0.4593 0.5893 1
O8 0.5407 0.4107 0.2049 1
O9 0.0636 0.2952 0.9252 1
O10 0.4107 0.2049 0.5407 1
O11 0.9252 0.0636 0.2952 1
O12 0.7048 0.0748 0.9364 1
```

calculated volume	15.61	Å³/atom
energy	-11.33	eV/atom
space-group type	R-3
total moment	32.001	μB/cell

A relaxed structure of Hg2AsO4, computed with PBE.

Structure (CIF):
```
data_Hg2AsO4
_chemical_formula_sum 'Hg2 As1 O4'
_cell_length_a 5.9443
_cell_length_b 5.9443
_cell_length_c 5.6279
_cell_angle_alpha 121.88
_cell_angle_beta 121.88
_cell_angle_gamma 90.00
_symmetry_space_group_name_H-M 'P 1'
_symmetry_Int_Tables_number 1
loop_
_symmetry_equiv_pos_as_xyz
'x,y,z'
loop_
_atom_site_label
_atom_site_fract_x
_atom_site_fract_y
_atom_site_fract_z
_atom_site_occupancy
Hg1 0.7500 0.2500 0.5000 1
Hg2 0.2500 0.7500 0.5000 1
As1 0.5000 0.5000 0.0000 1
O1 0.8017 0.4536 0.2553 1
O2 0.4536 0.8017 0.2553 1
O3 0.5464 0.5464 0.7447 1
O4 0.1983 0.1983 0.7447 1
```

calculated volume	18.89	Å³/atom
relative energy among the computed polymorphs	0.000	eV per atom
space-group type	I-42m
total moment	0.000	μB/cell

A relaxed structure of FeCu3, computed with PBE.

Structure (CIF):
```
data_FeCu3
_chemical_formula_sum 'Fe1 Cu3'
_cell_length_a 2.5505
_cell_length_b 2.5505
_cell_length_c 8.4828
_cell_angle_alpha 90.00
_cell_angle_beta 90.00
_cell_angle_gamma 120.00
_symmetry_space_group_name_H-M 'P 1'
_symmetry_Int_Tables_number 1
loop_
_symmetry_equiv_pos_as_xyz
'x,y,z'
loop_
_atom_site_label
_atom_site_fract_x
_atom_site_fract_y
_atom_site_fract_z
_atom_site_occupancy
Fe1 0.3333 0.6667 0.7500 1
Cu1 0.0000 0.0000 0.0006 1
Cu2 0.0000 0.0000 0.4994 1
Cu3 0.3333 0.6667 0.2500 1
```

calculated volume	11.95	Å³/atom
ΔH_f (0 K)	0.092	eV/atom
space-group type	P-6m2
total moment	2.666	μB/cell